First-principles (GGA-PBE) data for a geometry-optimized ThVFeSi2 structure, as listed in Alexandria via LeMat-Bulk.

a = 4.031 Å, b = 4.031 Å, c = 5.941 Å
α = 109.83°, β = 109.83°, γ = 90.00°
Atoms (fractional coordinates):
Fe  0.750  0.250  0.500
Si  0.622  0.622  0.244
Th  0.000  0.000  0.000
V  0.250  0.750  0.500
Si  0.378  0.378  0.756

Values from the calculation:
For the total moment, the calculation gives 2.1 Bohr magnetons per cell. The formation energy (no corrections) comes out at -0.560 eV per atom. For the theoretical density, the calculation gives 7.74 g/cm³.

First-principles (GGA-PBE) data for a geometry-optimized TiFe2Si2 structure, as listed in Alexandria via LeMat-Bulk.

a = 6.791 Å, b = 6.791 Å, c = 2.616 Å
α = 90.00°, β = 90.00°, γ = 90.00°
Atoms (fractional coordinates):
Si  0.360  0.860  0.000
Si  0.860  0.640  0.000
Fe  0.154  0.654  0.500
Ti  0.000  0.000  0.000
Si  0.640  0.140  0.000
Fe  0.846  0.346  0.500
Fe  0.654  0.846  0.500
Fe  0.346  0.154  0.500
Si  0.140  0.360  0.000
Ti  0.500  0.500  0.000

Values from the calculation:
For the total moment, the calculation gives 0.0 Bohr magnetons per cell. The formation energy (no corrections) comes out at -0.460 eV per atom. For the theoretical density, the calculation gives 5.94 g/cm³.

First-principles (GGA-PBE) data for a geometry-optimized Ti2FeSi2 structure, as listed in Alexandria via LeMat-Bulk.

a = 5.984 Å, b = 5.984 Å, c = 3.875 Å
α = 90.00°, β = 90.00°, γ = 90.00°
Atoms (fractional coordinates):
Ti  0.669  0.831  0.500
Si  0.641  0.141  0.000
Fe  0.000  0.000  0.000
Ti  0.169  0.669  0.500
Fe  0.500  0.500  0.000
Si  0.141  0.359  0.000
Ti  0.831  0.331  0.500
Ti  0.331  0.169  0.500
Si  0.359  0.859  0.000
Si  0.859  0.641  0.000

Values from the calculation:
For the total moment, the calculation gives 0.0 Bohr magnetons per cell. The formation energy (no corrections) comes out at -0.685 eV per atom. For the theoretical density, the calculation gives 4.97 g/cm³.

First-principles (GGA-PBE) data for a geometry-optimized TiFeSi3 structure, as listed in Alexandria via LeMat-Bulk.

a = 4.685 Å, b = 4.685 Å, c = 4.685 Å
α = 90.00°, β = 90.00°, γ = 90.00°
Atoms (fractional coordinates):
Fe  0.500  0.500  0.500
Si  0.000  0.500  0.000
Si  0.000  0.000  0.500
Ti  0.000  0.000  0.000
Si  0.500  0.000  0.000

Values from the calculation:
For the total moment, the calculation gives 3.6 Bohr magnetons per cell. The formation energy (no corrections) comes out at 1.002 eV per atom. For the theoretical density, the calculation gives 3.04 g/cm³.

First-principles (GGA-PBE) data for a geometry-optimized Ti12FeSi6 structure, as listed in Alexandria via LeMat-Bulk.

a = 7.083 Å, b = 7.083 Å, c = 7.083 Å
α = 99.77°, β = 99.77°, γ = 99.77°
Atoms (fractional coordinates):
Si  0.127  0.642  0.313
Ti  0.321  0.057  0.985
Ti  0.810  0.579  0.443
Ti  0.579  0.443  0.810
Si  0.358  0.687  0.873
Ti  0.557  0.190  0.421
Si  0.873  0.358  0.687
Si  0.642  0.313  0.127
Fe  0.000  0.000  0.000
Si  0.313  0.127  0.642
Ti  0.190  0.421  0.557
Ti  0.679  0.943  0.015
Ti  0.985  0.321  0.057
Ti  0.015  0.679  0.943
Ti  0.943  0.015  0.679
Si  0.687  0.873  0.358
Ti  0.443  0.810  0.579
Ti  0.057  0.985  0.321
Ti  0.421  0.557  0.190

Values from the calculation:
For the total moment, the calculation gives 0.0 Bohr magnetons per cell. The formation energy (no corrections) comes out at -0.190 eV per atom. For the theoretical density, the calculation gives 3.93 g/cm³.

First-principles (GGA-PBE) data for a geometry-optimized Ti2FeSi2 structure, as listed in Alexandria via LeMat-Bulk.

a = 3.271 Å, b = 3.271 Å, c = 7.405 Å
α = 77.24°, β = 77.24°, γ = 90.00°
Atoms (fractional coordinates):
Fe  0.000  0.000  0.000
Ti  0.601  0.601  0.798
Si  0.750  0.250  0.500
Ti  0.399  0.399  0.202
Si  0.250  0.750  0.500

Values from the calculation:
For the total moment, the calculation gives 0.0 Bohr magnetons per cell. The formation energy (no corrections) comes out at -0.034 eV per atom. For the theoretical density, the calculation gives 4.58 g/cm³.

First-principles (GGA-PBE) data for a geometry-optimized TiFeSi3 structure, as listed in Alexandria via LeMat-Bulk.

a = 4.320 Å, b = 4.320 Å, c = 4.320 Å
α = 90.00°, β = 90.00°, γ = 90.00°
Atoms (fractional coordinates):
Si  0.000  0.000  0.500
Fe  0.000  0.000  0.000
Si  0.500  0.000  0.000
Si  0.000  0.500  0.000
Ti  0.500  0.500  0.500

Values from the calculation:
For the total moment, the calculation gives 2.0 Bohr magnetons per cell. The formation energy (no corrections) comes out at 0.421 eV per atom. For the theoretical density, the calculation gives 3.87 g/cm³.

First-principles (GGA-PBE) data for a geometry-optimized Ti2FeSi2 structure, as listed in Alexandria via LeMat-Bulk.

a = 3.648 Å, b = 4.914 Å, c = 4.914 Å
α = 61.11°, β = 68.21°, γ = 68.21°
Atoms (fractional coordinates):
Ti  0.205  0.295  0.295
Si  0.500  0.736  0.264
Si  0.500  0.264  0.736
Ti  0.795  0.705  0.705
Fe  0.000  0.000  0.000

Values from the calculation:
For the total moment, the calculation gives 0.0 Bohr magnetons per cell. The formation energy (no corrections) comes out at -0.689 eV per atom. For the theoretical density, the calculation gives 4.96 g/cm³.

no.,total energy (eV per atom)
1,-7.73
2,-7.59
3,-7.70
4,-5.52
5,-7.33
6,-7.05
7,-6.10
8,-7.71